BHOs2 | Alexandria via LeMat-Bulk | GGA-PBEsol | optimized geometry; space-group type = I-42d (122)
1.0
4.6339 0.0042 -0.0070
-1.6663 4.3240 0.0070
1.6663 2.0389 3.8130
H B Os
2 2 4
Cartesian
0.0000 3.1814 1.9100 H
2.3170 4.7743 2.8615 H
0.0000 0.0000 0.0000 B
2.3170 1.5928 0.9515 B
-0.3367 1.9929 0.4792 Os
4.1374 4.9454 2.3823 Os
1.8205 3.5240 1.5336 Os
3.6466 2.2719 3.2309 Os

***

LaZnNF2 | Alexandria via LeMat-Bulk | GGA-PBEsol | optimized geometry; space-group type = P4/mmm (123); uncorrected formation energy = -1.44 eV/atom
1.0
4.5428 0.0000 0.0000
0.0000 4.5428 0.0000
0.0000 0.0000 4.7438
N Zn F La
1 1 2 1
Cartesian
0.0000 0.0000 2.3719 N
2.2714 2.2714 2.3719 Zn
0.0000 2.2714 0.0000 F
2.2714 0.0000 0.0000 F
0.0000 0.0000 0.0000 La

***

Rb2NbF6 | Alexandria via LeMat-Bulk | GGA-PBEsol | optimized geometry; space-group type = P-3m1 (164); uncorrected formation energy = -2.94 eV/atom
1.0
-1.0257 -3.8588 -2.3849
4.6724 1.0960 -3.7829
0.8687 -3.3455 5.0394
Nb Rb F
1 2 6
Cartesian
0.0000 0.0000 0.0000 Nb
3.1012 -1.5252 -1.5472 Rb
1.4141 -4.5830 0.4187 Rb
0.8507 -3.1751 -2.2545 F
3.2650 -2.6087 -4.2092 F
3.7139 -4.3374 -1.6052 F
3.6646 -2.9332 1.1261 F
1.2503 -3.4995 3.0808 F
0.8014 -1.7708 0.4768 F

***

Ca3Ni3P2 | Alexandria via LeMat-Bulk | GGA-PBEsol | optimized geometry; space-group type = Pnma (62)
1.0
3.8421 0.0000 0.0000
0.0000 9.0865 0.0000
0.0000 0.0000 17.2194
Ca Ni P
12 12 8
Cartesian
2.8816 3.5591 1.1875 Ca
0.9605 0.9841 9.7972 Ca
0.9605 5.5274 16.0318 Ca
2.8816 8.1024 7.4221 Ca
2.8816 3.2188 7.4862 Ca
0.9605 1.3244 16.0959 Ca
0.9605 5.8677 9.7332 Ca
2.8816 7.7621 1.1235 Ca
2.8816 3.4262 11.6992 Ca
0.9605 1.1171 3.0895 Ca
0.9605 5.6603 5.5201 Ca
2.8816 7.9695 14.1298 Ca
2.8816 0.5113 11.9257 Ni
0.9605 4.0319 3.3161 Ni
0.9605 8.5752 5.2936 Ni
2.8816 5.0546 13.9033 Ni
2.8816 1.7963 13.9326 Ni
0.9605 2.7470 5.3229 Ni
0.9605 7.2902 3.2868 Ni
2.8816 6.3395 11.8965 Ni
2.8816 5.6629 3.1839 Ni
0.9605 7.9669 11.7935 Ni
0.9605 3.4236 14.0355 Ni
2.8816 1.1196 5.4258 Ni
2.8816 3.4233 4.3506 P
0.9605 1.1200 12.9603 P
0.9605 5.6632 12.8687 P
2.8816 7.9665 4.2591 P
2.8816 7.9803 10.4356 P
0.9605 5.6494 1.8259 P
0.9605 1.1062 6.7837 P
2.8816 3.4371 15.3934 P

***

Be2SiNi | Alexandria via LeMat-Bulk | GGA-PBEsol | optimized geometry; space-group type = I-4m2 (119); uncorrected formation energy = -0.27 eV/atom
1.0
3.3632 0.0000 0.0000
0.0000 3.3632 0.0000
-1.6816 -1.6816 3.3550
Ni Si Be
1 1 2
Cartesian
0.0000 0.0000 0.0000 Ni
0.0000 1.6816 1.6775 Si
1.6816 1.6816 0.0000 Be
1.6816 0.0000 1.6775 Be

***

Li3HCl | Alexandria via LeMat-Bulk | GGA-PBEsol | optimized geometry; space-group type = Pm-3m (221)
1.0
4.1195 0.0000 0.0000
0.0000 4.1195 0.0000
0.0000 0.0000 4.1195
H Li Cl
1 3 1
Cartesian
0.0000 0.0000 0.0000 H
0.0000 2.0598 0.0000 Li
0.0000 0.0000 2.0598 Li
2.0598 0.0000 0.0000 Li
2.0598 2.0598 2.0598 Cl

***

| no. | raw total energy (eV per atom) |
| --- | --- |
| 1 | -8.3313 |
| 2 | -5.2986 |
| 3 | -5.6552 |
| 4 | -5.2514 |
| 5 | -5.2499 |
| 6 | -2.8430 |